Record 1
Here is a relaxed CoNi2Cl crystal from the Alexandria database. Energies are from GGA-PBE.

It has space group I-42d (No. 122), with a = 5.791 Å, b = 5.791 Å, c = 7.866 Å, α = 90.00°, β = 90.00° and γ = 90.00°. The inequivalent atoms are Co at (0.000, 0.000, 0.000), Ni at (0.244, 0.250, 0.125) and Cl at (0.000, 0.000, 0.500).

The calculation puts the spin magnetization at 15.117 μB/cell. For the formation energy (no corrections), the calculation gives 668.8 meV per atom. The raw total energy is -0.328 Ry/atom.

***

Record 2
Here is a relaxed SrZn2W crystal from the Alexandria database. Energies are from GGA-PBE.

It has space group C2/m (No. 12), with a = 9.235 Å, b = 2.913 Å, c = 6.309 Å, α = 90.00°, β = 97.48° and γ = 90.00°. The inequivalent atoms are Sr at (0.000, 0.000, 0.000), Zn at (0.240, 0.000, 0.670) and W at (0.000, 0.500, 0.500).

The calculation puts the spin magnetization at 0.020 μB/cell. The raw total energy is -0.276 Ry/atom.

***

Record 3
Here is a relaxed AlGaRu2 crystal from the Alexandria database. Energies are from GGA-PBE.

It has space group Immm (No. 71), with a = 2.700 Å, b = 4.606 Å, c = 10.357 Å, α = 90.00°, β = 90.00° and γ = 90.00°. The inequivalent atoms are Al at (0.000, 0.000, 0.000), Ga at (0.000, 0.000, 0.500) and Ru at (0.000, 0.000, 0.231).

The calculation puts the spin magnetization at 0.000 μB/cell. The raw total energy is -0.432 Ry/atom.

***

Record 4
Here is a relaxed MgTlV2 crystal from the Alexandria database. Energies are from GGA-PBE.

It has space group I-42d (No. 122), with a = 7.469 Å, b = 7.469 Å, c = 5.414 Å, α = 90.00°, β = 90.00° and γ = 90.00°. The inequivalent atoms are Mg at (0.000, 0.000, 0.000), Tl at (0.000, 0.000, 0.500) and V at (0.248, 0.250, 0.625).

The calculation puts the spin magnetization at 3.557 μB/cell. The raw total energy is -0.342 Ry/atom.

***

Record 5
Here is a relaxed TaCl2 crystal from the Alexandria database. Energies are from GGA-PBE.

It has space group C2/m (No. 12), with a = 11.894 Å, b = 3.261 Å, c = 9.641 Å, α = 90.00°, β = 127.53° and γ = 90.00°. The inequivalent atoms are Ta at (0.135, 0.000, 0.451), Cl at (0.030, 0.500, 0.790) and Cl at (0.245, 0.500, 0.694).

The calculation puts the spin magnetization at 1.945 μB/cell. For the formation energy (no corrections), the calculation gives -794.7 meV per atom. The raw total energy is -0.439 Ry/atom.

***

Record 6
Here is a relaxed CsI2 crystal from the Alexandria database. Energies are from GGA-PBE.

It has space group P1 (No. 1), with a = 5.833 Å, b = 6.447 Å, c = 10.556 Å, α = 87.84°, β = 84.18° and γ = 71.60°. The inequivalent atoms are Cs at (0.000, 0.000, 0.000), Cs at (0.300, 0.426, 0.642), I at (0.149, 0.203, 0.334), I at (0.361, 0.393, 0.116), I at (0.663, 0.628, 0.870) and I at (0.944, 0.018, 0.583).

The calculation puts the spin magnetization at 0.000 μB/cell. For the formation energy (no corrections), the calculation gives -1037.2 meV per atom. The raw total energy is -0.173 Ry/atom.

***

Record 7
Here is a relaxed SrZrScOs2 crystal from the Alexandria database. Energies are from GGA-PBE.

It has space group P4/mmm (No. 123), with a = 4.987 Å, b = 4.987 Å, c = 5.083 Å, α = 90.00°, β = 90.00° and γ = 90.00°. The inequivalent atoms are Sr at (0.000, 0.000, 0.000), Zr at (0.500, 0.500, 0.500), Sc at (0.500, 0.500, 0.000) and Os at (0.000, 0.500, 0.500).

The calculation puts the spin magnetization at 0.018 μB/cell. The raw total energy is -0.492 Ry/atom.

***

The highest spin magnetization belongs to which entry? CoNi2Cl

***

raw total energy of number 3 (AlGaRu2)? -0.432 Ry/atom

***

Among the records above, which one has the highest raw total energy? CsI2

***

What did the seventh record say?
Here is a relaxed SrZrScOs2 crystal from the Alexandria database. Energies are from GGA-PBE.

It has space group P4/mmm (No. 123), with a = 4.987 Å, b = 4.987 Å, c = 5.083 Å, α = 90.00°, β = 90.00° and γ = 90.00°. The inequivalent atoms are Sr at (0.000, 0.000, 0.000), Zr at (0.500, 0.500, 0.500), Sc at (0.500, 0.500, 0.000) and Os at (0.000, 0.500, 0.500).

The calculation puts the spin magnetization at 0.018 μB/cell. The raw total energy is -0.492 Ry/atom.